# 1
The following is a PBEsol calculation of Li2CdCu after structural relaxation, from the Alexandria database.

Its calculated total energy is -2.449 eV per atom. For the formation energy, the calculation gives -0.0830 eV per atom.

a b c (Å): 3.8835 3.9596 3.8910
angles (deg): 90.00 90.00 90.00
Positions (direct):
1 Cu 0.0000 0.5000 0.5000
2 Li 0.5000 0.0000 0.5000
3 Li 0.0000 0.0000 0.0000
4 Cd 0.5000 0.5000 0.0000

=====

# 2
The following is a PBEsol calculation of LiCdCu2 after structural relaxation, from the Alexandria database.

Its calculated total energy is -2.991 eV per atom. For the formation energy, the calculation gives -0.0331 eV per atom.

a b c (Å): 3.7576 3.7576 4.6912
angles (deg): 113.61 113.61 90.00
Positions (direct):
1 Cu 0.2500 0.7500 0.5000
2 Li 0.0000 0.0000 0.0000
3 Cd 0.5000 0.5000 0.0000
4 Cu 0.7500 0.2500 0.5000

=====

# 3
The following is a PBEsol calculation of LiCdCu after structural relaxation, from the Alexandria database.

Its calculated total energy is -2.573 eV per atom. The excess energy over the best structure of this formula in the dataset is 0.0000 eV per atom. For the formation energy, the calculation gives -0.0736 eV per atom.

a b c (Å): 2.7257 4.3260 4.3260
angles (deg): 120.00 90.00 90.00
Positions (direct):
1 Li 0.4110 0.3333 0.6667
2 Cu 0.5810 0.6667 0.3333
3 Cd 0.0080 0.0000 0.0000

=====

# 4
The following is a PBEsol calculation of LiCd2Cu after structural relaxation, from the Alexandria database.

Its calculated total energy is -2.328 eV per atom. For the formation energy, the calculation gives -0.1541 eV per atom.

a b c (Å): 4.4671 4.4765 4.4671
angles (deg): 119.93 90.00 119.93
Positions (direct):
1 Li 0.0000 0.0000 0.0000
2 Cd 0.2500 0.5000 0.7500
3 Cu 0.5000 0.0000 0.5000
4 Cd 0.7500 0.5000 0.2500

=====

# 5
The following is a PBEsol calculation of LiCdCu2 after structural relaxation, from the Alexandria database.

Its calculated total energy is -2.974 eV per atom. For the formation energy, the calculation gives -0.0161 eV per atom.

a b c (Å): 3.0221 3.0221 6.0770
angles (deg): 90.00 90.00 90.00
Positions (direct):
1 Cu 0.5000 0.5000 0.2384
2 Cu 0.0000 0.0000 0.0361
3 Li 0.0000 0.0000 0.4679
4 Cd 0.5000 0.5000 0.7575

=====

# 6
The following is a PBEsol calculation of Li2CdCu after structural relaxation, from the Alexandria database.

Its calculated total energy is -2.485 eV per atom. For the formation energy, the calculation gives -0.1191 eV per atom.

a b c (Å): 4.3902 4.3902 4.3902
angles (deg): 60.00 60.00 60.00
Positions (direct):
1 Li 0.7500 0.7500 0.7500
2 Cd 0.5000 0.5000 0.5000
3 Cu 0.2500 0.2500 0.2500
4 Li 0.0000 0.0000 0.0000